Entry 1:
{
  "formula": "CsPuGe2O8",
  "functional": "PBE-GGA",
  "state": "relaxed",
  "cell": [[4.526, -2.849, 0.000], [4.526, 2.849, 0.000], [-0.644, 0.000, 9.271]],
  "species": ["Cs", "Pu", "Ge", "Ge", "O", "O", "O", "O", "O", "O", "O", "O"],
  "fractional_positions": [[0.000, 0.000, 0.000], [0.000, 0.000, 0.500], [0.363, 0.363, 0.702], [0.637, 0.637, 0.298], [0.218, 0.218, 0.555], [0.224, 0.724, 0.653], [0.276, 0.776, 0.347], [0.315, 0.315, 0.873], [0.685, 0.685, 0.127], [0.724, 0.224, 0.653], [0.776, 0.276, 0.347], [0.782, 0.782, 0.445]]
}



Entry 2:
{
  "formula": "Cs2RbGeO4",
  "functional": "PBE-GGA",
  "state": "relaxed",
  "cell": [[0.000, 6.260, 13.182], [3.273, 0.000, 13.182], [3.273, 6.260, 0.000]],
  "species": ["Cs", "Cs", "Cs", "Cs", "Rb", "Rb", "Ge", "Ge", "O", "O", "O", "O", "O", "O", "O", "O"],
  "fractional_positions": [[0.072, 0.072, 0.678], [0.322, 0.322, 0.928], [0.678, 0.678, 0.072], [0.928, 0.928, 0.322], [0.125, 0.125, 0.125], [0.875, 0.875, 0.875], [0.375, 0.375, 0.375], [0.625, 0.625, 0.625], [0.093, 0.589, 0.468], [0.350, 0.468, 0.589], [0.411, 0.907, 0.650], [0.468, 0.350, 0.093], [0.532, 0.650, 0.907], [0.589, 0.093, 0.350], [0.650, 0.532, 0.411], [0.907, 0.411, 0.532]]
}



Entry 3:
{
  "formula": "CsRbGeO3",
  "functional": "PBE-GGA",
  "state": "relaxed",
  "cell": [[3.323, -6.462, 0.000], [3.323, 6.462, 0.000], [-1.025, 0.000, 5.514]],
  "species": ["Cs", "Cs", "Rb", "Rb", "Ge", "Ge", "O", "O", "O", "O", "O", "O"],
  "fractional_positions": [[0.240, 0.760, 0.750], [0.760, 0.240, 0.250], [0.408, 0.592, 0.250], [0.592, 0.408, 0.750], [0.043, 0.957, 0.250], [0.957, 0.043, 0.750], [0.153, 0.207, 0.481], [0.180, 0.820, 0.250], [0.207, 0.153, 0.981], [0.793, 0.847, 0.019], [0.820, 0.180, 0.750], [0.847, 0.793, 0.519]]
}



Formation energy from raw total energies (computed, meV/atom): -1780; -1265; -1637
Calculated density (computed, kg/m³): 4517; 2999; 4755
Size of the total moment (computed, μB/f.u.): 0.89; 1.00; 0.00